This record from the Alexandria database describes a geometry-optimized NdY4Er7 structure. The functional is PBE-GGA.

Output
Theoretical density in g/cm³: 7.1
Formation energy from the elements in eV/atom: 0.277
Total moment in μB per formula unit: 0.00

abc: 12.0400 5.8461 12.6366
angles: 90.00 118.11 90.00
Space group C2/m (No. 12)
Asymmetric unit:
Nd 0.0000 0.0000 0.0000 x2
Y 0.1313 0.5000 0.7750 x4
Y 0.2489 0.0000 0.6830 x4
Er 0.0000 0.5000 0.0000 x2
Er 0.0604 0.0000 0.3288 x4
Er 0.1343 0.5000 0.5028 x4
Er 0.2106 0.0000 0.9230 x4

---

This record from the Alexandria database describes a geometry-optimized Nd2YEr structure. The functional is PBE-GGA.

Output
Theoretical density in g/cm³: 6.7
Formation energy from the elements in eV/atom: 0.176
Energy above the most stable polymorph in this dataset in eV/atom: 0.165
Total moment in μB per formula unit: 0.45

abc: 3.5275 3.5275 37.6927
angles: 90.00 90.00 120.00
Space group R-3m (No. 166, hexagonal axes)
Asymmetric unit:
Nd 0.0000 0.0000 0.0895 x6
Y 0.0000 0.0000 0.0000 x3
Er 0.0000 0.0000 0.5000 x3

---

This record from the Alexandria database describes a geometry-optimized Nd3Y6Er2 structure. The functional is PBE-GGA.

Output
Theoretical density in g/cm³: 5.9
Formation energy from the elements in eV/atom: 0.104
Total moment in μB per formula unit: 0.00

abc: 5.7000 5.7000 38.8473
angles: 90.00 90.00 120.00
Space group R-3m (No. 166, hexagonal axes)
Asymmetric unit:
Nd 0.0000 0.0000 0.0000 x3
Nd 0.0000 0.0000 0.2817 x6
Y 0.0000 0.0000 0.0926 x6
Y 0.0000 0.0000 0.1860 x6
Y 0.0000 0.0000 0.3745 x6
Er 0.0000 0.0000 0.4596 x6

---

This record from the Alexandria database describes a geometry-optimized Nd2Y12Er5 structure. The functional is PBE-GGA.

Output
Theoretical density in g/cm³: 5.9
Formation energy from the elements in eV/atom: 0.091
Energy above the most stable polymorph in this dataset in eV/atom: 0.000
Total moment in μB per formula unit: 0.00

abc: 6.5451 8.6758 11.7760
angles: 88.88 87.44 67.85
Space group P1 (No. 1)
Asymmetric unit:
Nd 0.0000 0.0000 0.0000 x1
Nd 0.4421 0.1145 0.9992 x1
Y 0.0631 0.3045 0.2279 x1
Y 0.0721 0.4928 0.8828 x1
Y 0.2852 0.6783 0.6228 x1
Y 0.3466 0.3020 0.4993 x1
Y 0.4144 0.5007 0.1182 x1
Y 0.4708 0.7107 0.8792 x1
Y 0.5472 0.9063 0.4987 x1
Y 0.6243 0.3040 0.7702 x1
Y 0.6662 0.1014 0.2600 x1
Y 0.8018 0.7139 0.1194 x1
Y 0.8102 0.8895 0.7609 x1
Y 0.9459 0.1050 0.4991 x1
Er 0.0336 0.6738 0.3736 x1
Er 0.2243 0.1004 0.7383 x1
Er 0.2876 0.8924 0.2411 x1
Er 0.6053 0.5318 0.3762 x1
Er 0.8593 0.5287 0.6213 x1

---

Q: Which of these has the highest formation energy from the elements?
A: NdY4Er7

---

Q: total moment of number 4 (Nd2Y12Er5)?
A: 0.00 μB per formula unit

---

Q: Which of these has the highest formation energy from the elements?
A: NdY4Er7